# 1
## La2NbPd (PBE)

Data for an optimized crystal structure of La2NbPd.

Its formation energy is 0.24 eV/atom. For the excess energy over the best structure of this formula in the dataset, the calculation gives 3.65 kcal/mol of atoms.

The structure belongs to space group I-42d (No. 122); the cell edges are 8.0901, 8.0901 and 6.4179 Å and the angles 90.00°, 90.00° and 90.00°. The asymmetric unit holds La at (0.2293, 0.7500, 0.1250), Nb at (0.0000, 0.0000, 0.5000) and Pd at (0.0000, 0.0000, 0.0000).

# 2
## CoTc2Hg (PBE)

Data for an optimized crystal structure of CoTc2Hg.

Its formation energy is 0.51 eV/atom.

The structure belongs to space group I-4m2 (No. 119); the cell edges are 3.9301, 3.9301 and 7.7364 Å and the angles 90.00°, 90.00° and 90.00°. The asymmetric unit holds Co at (0.0000, 0.0000, 0.0000), Tc at (0.0000, 0.0000, 0.5000), Tc at (0.0000, 0.5000, 0.2500) and Hg at (0.0000, 0.5000, 0.7500).

# 3
## BaSiSb2 (PBE)

Data for an optimized crystal structure of BaSiSb2.

The formation energy (no corrections) comes out at -188 meV/atom.

The structure belongs to space group P2/m (No. 10); the cell edges are 5.1195, 4.6751 and 5.7608 Å and the angles 90.00°, 101.48° and 90.00°. The asymmetric unit holds Ba at (0.0000, 0.0000, 0.0000), Si at (0.5000, 0.0000, 0.5000) and Sb at (0.4002, 0.5000, 0.7454).

# 4
## Tb5ZnRu2 (PBE)

Data for an optimized crystal structure of Tb5ZnRu2.

Its formation energy is -0.33 eV/atom.

The structure belongs to space group I4/mcm (No. 140); the cell edges are 7.7566, 7.7566 and 13.0968 Å and the angles 90.00°, 90.00° and 90.00°. The asymmetric unit holds Tb at (0.0000, 0.0000, 0.0000), Tb at (0.1587, 0.3413, 0.1365), Zn at (0.0000, 0.0000, 0.2500) and Ru at (0.1419, 0.3581, 0.5000).

# 5
## SrPBr4 (PBE)

Data for an optimized crystal structure of SrPBr4.

The formation energy (no corrections) comes out at 34 meV/atom.

The structure belongs to space group F-43m (No. 216); the cell edges are 9.1457, 9.1457 and 9.1457 Å and the angles 90.00°, 90.00° and 90.00°. The asymmetric unit holds Sr at (0.0000, 0.0000, 0.0000), P at (0.2500, 0.2500, 0.2500) and Br at (0.1253, 0.1253, 0.6253).

# 6
## Tm6HgIr (PBE)

Data for an optimized crystal structure of Tm6HgIr.

Its formation energy is -0.20 eV/atom.

The structure belongs to space group C2/m (No. 12); the cell edges are 6.9195, 11.1815 and 6.6688 Å and the angles 90.00°, 112.39° and 90.00°. The asymmetric unit holds Tm at (0.2202, 0.1887, 0.2408), Tm at (0.2333, 0.0000, 0.7649), Hg at (0.0000, 0.5000, 0.5000) and Ir at (0.0000, 0.0000, 0.0000).